(1)
## SrPu2SnN4 (PBE)

Data for a relaxed SrPu2SnN4 crystal.

a b c (Å): 3.5510 12.1529 12.2395
angles (deg): 90.00 90.00 90.00
Space group Cmcm (No. 63)
Unique sites:
Sr  0.0000  0.1049  0.2500 [4 per cell]
Pu  0.0000  0.3711  0.0353 [8 per cell]
Sn  0.0000  0.1593  0.7500 [4 per cell]
N  0.0000  0.0000  0.0000 [4 per cell]
N  0.0000  0.2625  0.6136 [8 per cell]
N  0.0000  0.4390  0.2500 [4 per cell]

Properties
* total energy: -9.103 eV per atom
* Fermi-level density of states: 40.1 states/eV/cell
* total magnetic moment: 9.83 μB per formula unit

=====

(2)
## SrLiAlP2 (PBE)

Data for a relaxed SrLiAlP2 crystal.

a b c (Å): 13.2181 4.0244 9.7540
angles (deg): 90.00 124.89 90.00
Space group C2/m (No. 12)
Unique sites:
Sr  0.1883  0.0000  0.1402 [4 per cell]
Li  0.1514  0.5000  0.4286 [4 per cell]
Al  0.0352  0.0000  0.6786 [4 per cell]
P  0.0616  0.5000  0.8416 [4 per cell]
P  0.1649  0.0000  0.5828 [4 per cell]

Properties
* polymorph energy (0 for the lowest one): 0.000 eV/atom
* total energy: -4.512 eV per atom
* total magnetic moment: 0.00 μB per formula unit
* ΔH_f (0 K): -4.401 eV per formula unit

=====

(3)
## KSmBr4 (PBE)

Data for a relaxed KSmBr4 crystal.

a b c (Å): 10.2957 10.8173 4.4536
angles (deg): 90.00 90.00 90.00
Space group Cmmm (No. 65)
Unique sites:
K  0.0000  0.0000  0.0000 [2 per cell]
Sm  0.0000  0.5000  0.5000 [2 per cell]
Br  0.0000  0.3233  0.0000 [4 per cell]
Br  0.2274  0.0000  0.5000 [4 per cell]

Properties
* polymorph energy (0 for the lowest one): 0.028 eV/atom
* total energy: -3.903 eV per atom
* Fermi-level density of states: 0.0 states/eV/cell
* total magnetic moment: 0.00 μB per formula unit

=====

(4)
## Er8TlAg2 (PBE)

Data for a relaxed Er8TlAg2 crystal.

a b c (Å): 16.1350 5.1603 8.2011
angles (deg): 90.00 118.08 90.00
Space group C2/m (No. 12)
Unique sites:
Er  0.0643  0.0000  0.2260 [4 per cell]
Er  0.1012  0.5000  0.9633 [4 per cell]
Er  0.1492  0.0000  0.7065 [4 per cell]
Er  0.1860  0.5000  0.4650 [4 per cell]
Tl  0.0000  0.5000  0.5000 [2 per cell]
Ag  0.2161  0.0000  0.1185 [4 per cell]

Properties
* polymorph energy (0 for the lowest one): 0.000 eV/atom
* total energy: -4.203 eV per atom
* Fermi-level density of states: 24.2 states/eV/cell
* total magnetic moment: 0.00 μB per formula unit
* ΔH_f (0 K): -1.662 eV per formula unit

=====

(5)
## CuAg4Cl6 (PBE)

Data for a relaxed CuAg4Cl6 crystal.

a b c (Å): 12.5771 7.6759 12.6440
angles (deg): 90.00 105.68 90.00
Space group Cc (No. 9)
Unique sites:
Cu  0.0000  0.2396  0.0000 [4 per cell]
Ag  0.0726  0.2737  0.5914 [4 per cell]
Ag  0.2530  0.4058  0.9361 [4 per cell]
Ag  0.2707  0.0924  0.2390 [4 per cell]
Ag  0.4310  0.4319  0.7487 [4 per cell]
Cl  0.0527  0.4929  0.9373 [4 per cell]
Cl  0.0591  0.0167  0.4458 [4 per cell]
Cl  0.0747  0.2535  0.1832 [4 per cell]
Cl  0.2525  0.2420  0.7504 [4 per cell]
Cl  0.3159  0.2694  0.4247 [4 per cell]
Cl  0.3756  0.2865  0.1258 [4 per cell]

Properties
* total energy: -2.848 eV per atom
* Fermi-level density of states: 29.6 states/eV/cell
* total magnetic moment: 1.05 μB per formula unit

=====

(6)
## SbRuN2 (PBE)

Data for a relaxed SbRuN2 crystal.

a b c (Å): 5.1915 5.1915 9.0481
angles (deg): 90.00 90.00 90.00
Space group I-42d (No. 122)
Unique sites:
Sb  0.0000  0.0000  0.0000 [4 per cell]
Ru  0.0000  0.0000  0.5000 [4 per cell]
N  0.1768  0.2500  0.6250 [8 per cell]

Properties
* total energy: -6.813 eV per atom
* Fermi-level density of states: 11.9 states/eV/cell
* total magnetic moment: 0.00 μB per formula unit